No. 1
## LuAlInAg (PBE-GGA)

Data for LuAlInAg after structural relaxation.

The structure in extended XYZ format:
```
4
Lattice="0.000 3.486 3.486 3.486 0.000 3.486 3.486 3.486 0.000" Properties=species:S:1:pos:R:3 pbc="T T T"
Lu 0.000 0.000 0.000
Al 3.486 3.486 3.486
In 5.229 5.229 5.229
Ag 1.743 1.743 1.743
```

Properties
* ΔH_f (0 K): -0.7 eV/f.u.


No. 2
## GaFe3Co (PBE-GGA)

Data for GaFe3Co after structural relaxation.

The structure in extended XYZ format:
```
5
Lattice="4.397 0.000 0.000 0.000 4.397 0.000 0.000 0.000 4.397" Properties=species:S:1:pos:R:3 pbc="T T T"
Ga 0.000 0.000 0.000
Fe 0.000 0.000 2.198
Fe 0.000 2.198 0.000
Fe 2.198 0.000 0.000
Co 2.198 2.198 2.198
```

Properties
* ΔH_f (0 K): 6.3 eV/f.u.
* E above lowest polymorph: 1361.8 meV per atom


No. 3
## Pm12PrY7 (PBE-GGA)

Data for Pm12PrY7 after structural relaxation.

The structure in extended XYZ format:
```
20
Lattice="-5.769 5.769 5.769 5.769 -5.769 5.769 5.769 5.769 -5.769" Properties=species:S:1:pos:R:3 pbc="T T T"
Pm 5.769 2.838 -2.838
Pm 5.769 -2.838 2.838
Pm 2.838 5.769 -2.838
Pm 2.931 2.931 0.000
Pm 2.931 0.000 2.931
Pm 2.838 -2.838 5.769
Pm 5.769 2.838 2.838
Pm 0.000 2.931 2.931
Pm -2.838 5.769 2.838
Pm -2.838 2.838 5.769
Pm 2.838 5.769 2.838
Pm 2.838 2.838 5.769
Pr 0.000 0.000 0.000
Y 2.884 2.884 -2.884
Y 2.884 -2.884 2.884
Y 5.769 0.000 0.000
Y -2.884 2.884 2.884
Y 0.000 5.769 0.000
Y 0.000 0.000 5.769
Y 2.884 2.884 2.884
```

Properties
* ΔH_f (0 K): 13.6 eV/f.u.
* E above lowest polymorph: 582.2 meV per atom


No. 4
## CaSiH2N (PBE-GGA)

Data for CaSiH2N after structural relaxation.

The structure in extended XYZ format:
```
5
Lattice="3.660 0.000 0.000 0.000 3.660 0.000 0.000 0.000 4.824" Properties=species:S:1:pos:R:3 pbc="T T T"
Ca 0.000 0.000 0.000
Si 1.830 1.830 2.412
H 0.000 1.830 0.000
H 1.830 0.000 0.000
N 0.000 0.000 2.412
```

Properties
* total energy: -3.611 eV/atom


No. 5
## BaSiAg2Au (PBE-GGA)

Data for BaSiAg2Au after structural relaxation.

The structure in extended XYZ format:
```
5
Lattice="4.967 0.000 0.000 0.000 4.967 0.000 0.000 0.000 5.098" Properties=species:S:1:pos:R:3 pbc="T T T"
Ba 0.000 0.000 0.000
Si 2.484 2.484 2.549
Ag 0.000 2.484 2.549
Ag 2.484 0.000 2.549
Au 2.484 2.484 0.000
```

Properties
* raw formation energy: -1.2 eV/f.u.


No. 6
## V2Cr4Re (PBE-GGA)

Data for V2Cr4Re after structural relaxation.

The structure in extended XYZ format:
```
7
Lattice="6.456 -1.218 0.000 6.456 1.218 0.000 -3.213 0.000 5.799" Properties=species:S:1:pos:R:3 pbc="T T T"
V 1.902 0.000 1.673
V 7.797 0.000 4.126
Cr -0.507 0.000 2.533
Cr 4.142 0.000 0.827
Cr 5.556 0.000 4.972
Cr 10.205 0.000 3.267
Re 0.000 0.000 0.000
```

Properties
* ΔH_f (0 K): 1.8 eV/f.u.
* E above lowest polymorph: 179.0 meV per atom